Computed, not measured: a relaxed Tc3IrS crystal at the PBEsol level of DFT.

Summary:
**E_form (uncorrected)**: 2100 meV/atom
**Offset from the most stable computed form**: 1469 meV per atom

```
Tc3IrS
1.0
4.651 0.000 0.000
0.000 4.651 0.000
0.000 0.000 4.651
Tc Ir S
3 1 1
Cartesian
0.000 0.000 2.325
0.000 2.325 0.000
2.325 0.000 0.000
0.000 0.000 0.000
2.325 2.325 2.325
```

Computed, not measured: a relaxed Y2TeIrS crystal at the PBEsol level of DFT.

Summary:
**E_form (uncorrected)**: -20 meV/atom

```
Y2TeIrS
1.0
5.040 0.000 0.000
0.000 5.040 0.000
0.000 0.000 4.878
Y Te Ir S
2 1 1 1
Cartesian
0.000 2.520 0.000
2.520 0.000 0.000
0.000 0.000 2.439
2.520 2.520 2.439
0.000 0.000 0.000
```

Computed, not measured: a relaxed YTeIrS2 crystal at the PBEsol level of DFT.

Summary:
**E_form (uncorrected)**: -341 meV/atom

```
YTeIrS2
1.0
4.461 0.000 0.000
0.000 4.461 0.000
0.000 0.000 5.873
Y Te Ir S
1 1 1 2
Cartesian
0.000 0.000 0.000
2.230 2.230 0.000
0.000 0.000 2.936
0.000 2.230 2.936
2.230 0.000 2.936
```

Computed, not measured: a relaxed TlIrS2 crystal at the PBEsol level of DFT.

Summary:
**E_form (uncorrected)**: -304 meV/atom

```
TlIrS2
1.0
3.546 0.000 0.000
-1.773 3.071 0.000
0.000 0.000 24.666
Tl Ir S
3 3 6
Cartesian
0.000 0.000 0.000
0.000 2.047 16.444
1.773 1.024 8.222
0.000 0.000 12.333
0.000 2.047 4.111
1.773 1.024 20.555
0.000 0.000 2.952
0.000 0.000 21.714
0.000 2.047 13.492
0.000 2.047 19.396
1.773 1.024 5.270
1.773 1.024 11.174
```

Computed, not measured: a relaxed IrWS3 crystal at the PBEsol level of DFT.

Summary:
**E_form (uncorrected)**: 1232 meV/atom

```
IrWS3
1.0
4.519 0.000 0.000
0.000 4.519 0.000
0.000 0.000 4.519
Ir W S
1 1 3
Cartesian
0.000 0.000 0.000
2.260 2.260 2.260
0.000 0.000 2.260
0.000 2.260 0.000
2.260 0.000 0.000
```

Computed, not measured: a relaxed YIrS2 crystal at the PBEsol level of DFT.

Summary:
**E_form (uncorrected)**: -647 meV/atom

```
YIrS2
1.0
6.391 0.000 0.000
0.000 6.391 0.000
0.000 0.000 6.391
Y Ir S
4 4 8
Cartesian
0.000 0.000 0.000
0.000 3.196 3.196
3.196 0.000 3.196
3.196 3.196 0.000
0.000 0.000 3.196
0.000 3.196 0.000
3.196 0.000 0.000
3.196 3.196 3.196
1.598 1.598 1.598
1.598 1.598 4.793
1.598 4.793 1.598
1.598 4.793 4.793
4.793 1.598 1.598
4.793 1.598 4.793
4.793 4.793 1.598
4.793 4.793 4.793
```

Computed, not measured: a relaxed ZnIrS2 crystal at the PBEsol level of DFT.

Summary:
**E_form (uncorrected)**: -190 meV/atom

```
ZnIrS2
1.0
3.564 0.000 0.000
-1.782 3.086 0.000
0.000 0.000 20.607
Zn Ir S
3 3 6
Cartesian
0.000 0.000 0.000
0.000 2.058 13.738
1.782 1.029 6.869
0.000 0.000 10.304
0.000 2.058 3.435
1.782 1.029 17.173
0.000 0.000 2.281
0.000 0.000 18.326
0.000 2.058 11.457
0.000 2.058 16.019
1.782 1.029 4.588
1.782 1.029 9.150
```

Computed, not measured: a relaxed Zr3IrS crystal at the PBEsol level of DFT.

Summary:
**E_form (uncorrected)**: 183 meV/atom

```
Zr3IrS
1.0
4.989 0.000 0.000
0.000 4.989 0.000
0.000 0.000 4.989
Zr Ir S
3 1 1
Cartesian
0.000 0.000 2.495
0.000 2.495 0.000
2.495 0.000 0.000
0.000 0.000 0.000
2.495 2.495 2.495
```